An optimized crystal structure of SiAs, computed with PBE-GGA.

a b c (Å): 3.077 3.077 8.709
angles (deg): 90.00 90.00 110.91
Sites, in units of the cell vectors:
Si (0.250, 0.750, 0.891)
Si (0.750, 0.250, 0.109)
As (0.250, 0.750, 0.311)
As (0.750, 0.250, 0.689)

Summary:
The space-group type is Cmme.

An optimized crystal structure of SiAs, computed with PBE-GGA.

a b c (Å): 5.872 5.872 5.872
angles (deg): 42.62 42.62 42.62
Sites, in units of the cell vectors:
Si (0.236, 0.236, 0.236)
Si (0.764, 0.764, 0.764)
As (0.395, 0.395, 0.395)
As (0.605, 0.605, 0.605)

Summary:
The space-group type is R-3m.

An optimized crystal structure of SiAs5, computed with PBE-GGA.

a b c (Å): 5.167 5.167 5.004
angles (deg): 90.00 90.00 120.00
Sites, in units of the cell vectors:
Si (0.000, 0.000, 0.000)
As (0.000, 0.711, 0.500)
As (0.289, 0.289, 0.500)
As (0.333, 0.667, 0.000)
As (0.667, 0.333, 0.000)
As (0.711, 0.000, 0.500)

Summary:
The space-group type is P-62m.

An optimized crystal structure of Si3As5, computed with PBE-GGA.

a b c (Å): 7.184 7.184 6.843
angles (deg): 90.00 90.00 120.00
Sites, in units of the cell vectors:
Si (0.000, 0.431, 0.250)
Si (0.000, 0.569, 0.750)
Si (0.431, 0.000, 0.250)
Si (0.431, 0.431, 0.750)
Si (0.569, 0.000, 0.750)
Si (0.569, 0.569, 0.250)
As (0.000, 0.216, 0.750)
As (0.000, 0.784, 0.250)
As (0.216, 0.000, 0.750)
As (0.216, 0.216, 0.250)
As (0.333, 0.667, 0.000)
As (0.333, 0.667, 0.500)
As (0.667, 0.333, 0.000)
As (0.667, 0.333, 0.500)
As (0.784, 0.000, 0.250)
As (0.784, 0.784, 0.750)

Summary:
The space-group type is P6_3/mcm.

An optimized crystal structure of SiAs, computed with PBE-GGA.

a b c (Å): 9.283 9.283 4.895
angles (deg): 90.00 90.00 90.00
Sites, in units of the cell vectors:
Si (0.095, 0.365, 0.000)
Si (0.137, 0.681, 0.500)
Si (0.319, 0.137, 0.500)
Si (0.365, 0.905, 0.000)
Si (0.635, 0.095, 0.000)
Si (0.681, 0.863, 0.500)
Si (0.863, 0.319, 0.500)
Si (0.905, 0.635, 0.000)
As (0.120, 0.302, 0.500)
As (0.173, 0.616, 0.000)
As (0.302, 0.880, 0.500)
As (0.384, 0.173, 0.000)
As (0.616, 0.827, 0.000)
As (0.698, 0.120, 0.500)
As (0.827, 0.384, 0.000)
As (0.880, 0.698, 0.500)

Summary:
The space-group type is P4/m.

An optimized crystal structure of Si23As4, computed with PBE-GGA.

a b c (Å): 10.139 10.139 10.139
angles (deg): 90.00 90.00 90.00
Sites, in units of the cell vectors:
Si (0.000, 0.116, 0.312)
Si (0.000, 0.116, 0.688)
Si (0.000, 0.250, 0.500)
Si (0.000, 0.750, 0.500)
Si (0.000, 0.884, 0.312)
Si (0.000, 0.884, 0.688)
Si (0.116, 0.312, 0.000)
Si (0.116, 0.688, 0.000)
Si (0.182, 0.182, 0.182)
Si (0.182, 0.182, 0.818)
Si (0.182, 0.818, 0.182)
Si (0.182, 0.818, 0.818)
Si (0.188, 0.384, 0.500)
Si (0.188, 0.616, 0.500)
Si (0.250, 0.500, 0.000)
Si (0.312, 0.000, 0.116)
Si (0.312, 0.000, 0.884)
Si (0.318, 0.318, 0.318)
Si (0.318, 0.318, 0.682)
Si (0.318, 0.682, 0.318)
Si (0.318, 0.682, 0.682)
Si (0.384, 0.500, 0.188)
Si (0.384, 0.500, 0.812)
Si (0.500, 0.000, 0.250)
Si (0.500, 0.000, 0.750)
Si (0.500, 0.188, 0.384)
Si (0.500, 0.188, 0.616)
Si (0.500, 0.812, 0.384)
Si (0.500, 0.812, 0.616)
Si (0.616, 0.500, 0.188)
Si (0.616, 0.500, 0.812)
Si (0.682, 0.318, 0.318)
Si (0.682, 0.318, 0.682)
Si (0.682, 0.682, 0.318)
Si (0.682, 0.682, 0.682)
Si (0.688, 0.000, 0.116)
Si (0.688, 0.000, 0.884)
Si (0.750, 0.500, 0.000)
Si (0.812, 0.384, 0.500)
Si (0.812, 0.616, 0.500)
Si (0.818, 0.182, 0.182)
Si (0.818, 0.182, 0.818)
Si (0.818, 0.818, 0.182)
Si (0.818, 0.818, 0.818)
Si (0.884, 0.312, 0.000)
Si (0.884, 0.688, 0.000)
As (0.000, 0.000, 0.000)
As (0.000, 0.500, 0.250)
As (0.000, 0.500, 0.750)
As (0.250, 0.000, 0.500)
As (0.500, 0.250, 0.000)
As (0.500, 0.500, 0.500)
As (0.500, 0.750, 0.000)
As (0.750, 0.000, 0.500)

Summary:
The space-group type is Pm-3n.

An optimized crystal structure of Si3As, computed with PBE-GGA.

a b c (Å): 5.536 5.536 4.841
angles (deg): 90.00 90.00 120.00
Sites, in units of the cell vectors:
Si (0.161, 0.321, 0.250)
Si (0.161, 0.839, 0.250)
Si (0.321, 0.161, 0.750)
Si (0.679, 0.839, 0.250)
Si (0.839, 0.161, 0.750)
Si (0.839, 0.679, 0.750)
As (0.333, 0.667, 0.750)
As (0.667, 0.333, 0.250)

Summary:
The space-group type is P6_3/mmc.

An optimized crystal structure of SiAs5, computed with PBE-GGA.

a b c (Å): 5.754 5.754 5.569
angles (deg): 90.00 90.00 132.71
Sites, in units of the cell vectors:
Si (0.000, 0.000, 0.000)
As (0.000, 0.000, 0.500)
As (0.378, 0.622, 0.500)
As (0.380, 0.620, 0.000)
As (0.620, 0.380, 0.000)
As (0.622, 0.378, 0.500)

Summary:
The space-group type is Cmmm.

An optimized crystal structure of SiAs2, computed with PBE-GGA.

a b c (Å): 7.538 7.538 3.427
angles (deg): 90.00 90.00 120.00
Sites, in units of the cell vectors:
Si (0.000, 0.000, 0.000)
Si (0.333, 0.667, 0.500)
Si (0.667, 0.333, 0.500)
As (0.000, 0.267, 0.500)
As (0.000, 0.541, 0.000)
As (0.267, 0.000, 0.500)
As (0.459, 0.459, 0.000)
As (0.541, 0.000, 0.000)
As (0.733, 0.733, 0.500)

Summary:
The space-group type is P-62m.

An optimized crystal structure of SiAs2, computed with PBE-GGA.

a b c (Å): 4.883 4.883 2.692
angles (deg): 90.00 90.00 120.00
Sites, in units of the cell vectors:
Si (0.000, 0.000, 0.000)
As (0.333, 0.667, 0.500)
As (0.667, 0.333, 0.500)

Summary:
The space-group type is P6/mmm.

An optimized crystal structure of SiAs4, computed with PBE-GGA.

a b c (Å): 4.754 4.754 4.754
angles (deg): 90.00 90.00 90.00
Sites, in units of the cell vectors:
Si (0.000, 0.000, 0.000)
As (0.000, 0.000, 0.500)
As (0.000, 0.500, 0.000)
As (0.500, 0.000, 0.000)
As (0.500, 0.500, 0.500)

Summary:
The space-group type is Pm-3m.

An optimized crystal structure of SiAs, computed with PBE-GGA.

a b c (Å): 4.067 4.067 4.067
angles (deg): 60.00 60.00 60.00
Sites, in units of the cell vectors:
Si (0.000, 0.000, 0.000)
As (0.250, 0.250, 0.250)

Summary:
The space-group type is F-43m.

An optimized crystal structure of SiAs5, computed with PBE-GGA.

a b c (Å): 5.737 5.737 7.264
angles (deg): 112.13 112.13 35.91
Sites, in units of the cell vectors:
Si (0.000, 0.000, 0.000)
As (0.028, 0.028, 0.487)
As (0.312, 0.312, 0.965)
As (0.332, 0.332, 0.322)
As (0.593, 0.593, 0.813)
As (0.627, 0.627, 0.275)

Summary:
The space-group type is Cm.

An optimized crystal structure of SiAs, computed with PBE-GGA.

a b c (Å): 5.916 5.916 7.933
angles (deg): 120.75 120.75 35.40
Sites, in units of the cell vectors:
Si (0.000, 0.000, 0.000)
Si (0.080, 0.080, 0.778)
Si (0.301, 0.301, 0.787)
As (0.458, 0.458, 0.541)
As (0.663, 0.663, 0.206)
As (0.674, 0.674, 0.526)

Summary:
The space-group type is Cm.

An optimized crystal structure of Si3As, computed with PBE-GGA.

a b c (Å): 5.160 5.160 5.160
angles (deg): 90.00 90.00 90.00
Sites, in units of the cell vectors:
Si (0.249, 0.249, 0.250)
Si (0.249, 0.249, 0.750)
Si (0.250, 0.750, 0.750)
Si (0.750, 0.250, 0.250)
Si (0.751, 0.751, 0.250)
Si (0.751, 0.751, 0.750)
As (0.252, 0.748, 0.250)
As (0.748, 0.252, 0.750)

Summary:
The space-group type is Cmcm.

An optimized crystal structure of Si3As, computed with PBE-GGA.

a b c (Å): 5.611 5.611 5.611
angles (deg): 146.04 137.18 55.74
Sites, in units of the cell vectors:
Si (0.000, 0.000, 0.000)
Si (0.203, 0.703, 0.500)
Si (0.797, 0.297, 0.500)
As (0.500, 0.500, 0.000)

Summary:
The space-group type is Immm.

An optimized crystal structure of SiAs3, computed with PBE-GGA.

a b c (Å): 5.454 5.454 5.454
angles (deg): 116.90 116.90 116.90
Sites, in units of the cell vectors:
Si (0.000, 0.000, 0.000)
As (0.000, 0.500, 0.500)
As (0.500, 0.000, 0.500)
As (0.500, 0.500, 0.000)

Summary:
The space-group type is R-3m.

An optimized crystal structure of Si2As3, computed with PBE-GGA.

a b c (Å): 6.474 6.474 6.315
angles (deg): 99.06 99.06 117.77
Sites, in units of the cell vectors:
Si (0.091, 0.909, 0.500)
Si (0.280, 0.771, 0.005)
Si (0.771, 0.280, 0.505)
Si (0.909, 0.091, 0.000)
As (0.097, 0.251, 0.391)
As (0.251, 0.097, 0.891)
As (0.426, 0.869, 0.416)
As (0.549, 0.715, 0.816)
As (0.715, 0.549, 0.316)
As (0.869, 0.426, 0.916)

Summary:
The space-group type is Cc.

An optimized crystal structure of SiAs2, computed with PBE-GGA.

a b c (Å): 4.395 4.395 4.395
angles (deg): 60.00 60.00 60.00
Sites, in units of the cell vectors:
Si (0.000, 0.000, 0.000)
As (0.250, 0.250, 0.250)
As (0.750, 0.750, 0.750)

Summary:
The space-group type is Fm-3m.

An optimized crystal structure of SiAs, computed with PBE-GGA.

a b c (Å): 10.836 3.692 6.322
angles (deg): 90.00 90.00 90.00
Sites, in units of the cell vectors:
Si (0.000, 0.201, 0.000)
Si (0.192, 0.827, 0.106)
Si (0.308, 0.173, 0.606)
Si (0.500, 0.799, 0.500)
Si (0.692, 0.173, 0.606)
Si (0.808, 0.827, 0.106)
As (0.000, 0.643, 0.292)
As (0.178, 0.679, 0.733)
As (0.322, 0.321, 0.233)
As (0.500, 0.357, 0.792)
As (0.678, 0.321, 0.233)
As (0.822, 0.679, 0.733)

Summary:
The space-group type is Pmn2_1.

An optimized crystal structure of SiAs, computed with PBE-GGA.

a b c (Å): 3.241 3.241 3.241
angles (deg): 90.00 90.00 90.00
Sites, in units of the cell vectors:
Si (0.000, 0.000, 0.000)
As (0.500, 0.500, 0.500)

Summary:
The space-group type is Pm-3m.

An optimized crystal structure of SiAs3, computed with PBE-GGA.

a b c (Å): 3.782 5.225 4.215
angles (deg): 90.00 90.00 90.00
Sites, in units of the cell vectors:
Si (0.000, 0.000, 0.000)
As (0.000, 0.500, 0.875)
As (0.500, 0.000, 0.380)
As (0.500, 0.500, 0.477)

Summary:
The space-group type is Pmm2.

An optimized crystal structure of Si3As, computed with PBE-GGA.

a b c (Å): 5.044 5.098 5.261
angles (deg): 90.00 90.00 90.00
Sites, in units of the cell vectors:
Si (0.250, 0.006, 0.006)
Si (0.250, 0.250, 0.560)
Si (0.250, 0.494, 0.006)
Si (0.750, 0.506, 0.994)
Si (0.750, 0.750, 0.440)
Si (0.750, 0.994, 0.994)
As (0.250, 0.750, 0.450)
As (0.750, 0.250, 0.550)

Summary:
The space-group type is Pmmn.

An optimized crystal structure of SiAs, computed with PBE-GGA.

a b c (Å): 2.849 2.849 4.991
angles (deg): 90.00 90.00 120.00
Sites, in units of the cell vectors:
Si (0.000, 0.000, 0.000)
As (0.333, 0.667, 0.500)

Summary:
The space-group type is P-6m2.

Computed E_tot, in the same sequence as the records: -18.42 -18.70 -25.74 -70.91 -76.05 -268.23 -37.34 -26.94 -40.06 -13.12 -20.24 -9.42 -27.15 -28.91 -39.75 -18.90 -17.34 -48.86 -13.33 -57.82 -9.05 -18.98 -39.07 -8.96 eV for the cell shown.